No. 1
Pr2Y12Er5: optimized geometry, GGA-PBE.

Output
- E above lowest polymorph: 5.0 kJ per mole of atoms
- Energy relative to the elements: 0.13 eV/atom
- Space-group type: C2/m (12)
- Crystal system: monoclinic

abc: 9.1406 9.1406 8.5656
angles: 90.90 90.90 61.25
With the nearest neighbours (Å) after each atom.
Positions (direct):
Pr 0.1834 0.8166 0.0000  8 Y 3.39-3.62, 1 Pr 3.42, 2 Er 3.54
Pr 0.8166 0.1834 0.0000  8 Y 3.39-3.62, 1 Pr 3.42, 2 Er 3.54
Y 0.0577 0.0577 0.3273  2 Pr 3.39, 2 Er 3.39-3.53, 7 Y 3.42-3.50
Y 0.0652 0.6811 0.3489  4 Er 3.38-3.71, 6 Y 3.42-3.74, 1 Pr 3.62
Y 0.1634 0.5239 0.7577  5 Y 3.36-3.74, 1 Pr 3.43, 4 Er 3.51-3.73
Y 0.3189 0.9348 0.6511  4 Er 3.38-3.71, 6 Y 3.42-3.74, 1 Pr 3.62
Y 0.4078 0.4078 0.1199  3 Er 3.43-3.54, 2 Pr 3.45, 5 Y 3.52-3.65
Y 0.4761 0.8366 0.2423  5 Y 3.36-3.74, 1 Pr 3.43, 4 Er 3.51-3.73
Y 0.5239 0.1634 0.7577  5 Y 3.36-3.74, 1 Pr 3.43, 4 Er 3.51-3.73
Y 0.5922 0.5922 0.8801  3 Er 3.43-3.54, 2 Pr 3.45, 5 Y 3.52-3.65
Y 0.6811 0.0652 0.3489  4 Er 3.38-3.71, 6 Y 3.42-3.74, 1 Pr 3.62
Y 0.8366 0.4761 0.2423  5 Y 3.36-3.74, 1 Pr 3.43, 4 Er 3.51-3.73
Y 0.9348 0.3189 0.6511  4 Er 3.38-3.71, 6 Y 3.42-3.74, 1 Pr 3.62
Y 0.9423 0.9423 0.6727  2 Pr 3.39, 2 Er 3.39-3.53, 7 Y 3.42-3.50
Er 0.1972 0.1972 0.0098  8 Y 3.43-3.71, 2 Pr 3.54, 1 Er 3.69
Er 0.2680 0.2680 0.4233  10 Y 3.38-3.78, 2 Er 3.69-3.70
Er 0.5000 0.5000 0.5000  10 Y 3.54-3.73, 2 Er 3.70
Er 0.7320 0.7320 0.5767  10 Y 3.38-3.78, 2 Er 3.69-3.70
Er 0.8028 0.8028 0.9902  8 Y 3.43-3.71, 2 Pr 3.54, 1 Er 3.69

No. 2
Cd2WSe: optimized geometry, GGA-PBE.

Output
- Formation energy (no corrections): 584 meV/atom
- Space-group type: Cmmm (65)
- Crystal system: orthorhombic

abc: 5.5225 5.5225 2.7872
angles: 90.00 90.00 113.62
With the nearest neighbours (Å) after each atom.
Positions (direct):
Cd 0.0000 0.5000 0.0000  4 Cd 2.79-3.02, 4 Se 3.09, 4 W 3.09
Cd 0.5000 0.0000 0.0000  4 Cd 2.79-3.02, 4 W 3.09, 4 Se 3.09
W 0.0000 0.0000 0.5000  2 W 2.79, 2 Se 3.02, 8 Cd 3.09
Se 0.5000 0.5000 0.5000  2 Se 2.79, 2 W 3.02, 8 Cd 3.09

No. 3
AlSn3Os: optimized geometry, GGA-PBE.

Output
- E above lowest polymorph: 0.0 kJ per mole of atoms
- Energy relative to the elements: 0.48 eV/atom
- Space-group type: Pm-3m (221)
- Crystal system: cubic

abc: 5.1536 5.1536 5.1536
angles: 90.00 90.00 90.00
With the nearest neighbours (Å) after each atom.
Positions (direct):
Al 0.0000 0.0000 0.0000  12 Sn 3.64
Sn 0.0000 0.5000 0.5000  2 Os 2.58
Sn 0.5000 0.0000 0.5000  2 Os 2.58
Sn 0.5000 0.5000 0.0000  2 Os 2.58
Os 0.5000 0.5000 0.5000  6 Sn 2.58

No. 4
TmPuPa2: optimized geometry, GGA-PBE.

Output
- E above lowest polymorph: 0.3 kJ per mole of atoms
- Energy relative to the elements: 0.17 eV/atom
- Space-group type: P4/mmm (123)
- Crystal system: tetragonal

abc: 4.6426 4.6426 4.7092
angles: 90.00 90.00 90.00
With the nearest neighbours (Å) after each atom.
Positions (direct):
Tm 0.0000 0.0000 0.0000  4 Pu 3.28, 8 Pa 3.31
Pu 0.5000 0.5000 0.0000  4 Tm 3.28, 8 Pa 3.31
Pa 0.0000 0.5000 0.5000  4 Pa 3.28, 4 Pu 3.31, 4 Tm 3.31
Pa 0.5000 0.0000 0.5000  4 Pa 3.28, 4 Pu 3.31, 4 Tm 3.31

| no. | calculated volume (Å³/cell) |
| --- | --- |
| 1 | 627 |
| 2 | 78 |
| 3 | 137 |
| 4 | 101 |